DFT (PBE+U) results for TlGa2NiF8 after structural relaxation.

Structure (POSCAR):
```
TlGa2NiF8
1.0
2.688 1.552 7.837
-2.688 1.552 7.837
0.000 -3.103 7.837
Tl Ga Ni F
1 2 1 8
Direct
0.000 0.000 0.000 Tl
0.235 0.235 0.235 Ga
0.765 0.765 0.765 Ga
0.500 0.500 0.500 Ni
0.135 0.456 0.760 F
0.240 0.865 0.544 F
0.313 0.313 0.313 F
0.456 0.760 0.135 F
0.544 0.240 0.865 F
0.687 0.687 0.687 F
0.760 0.135 0.456 F
0.865 0.544 0.240 F
```

Uncorrected energy (eV/atom): -4.32
Magnetization (μB per formula unit): 1.84
Symmetry: R-3